1.
! SrAc2AsO8 (GGA-PBE, optimized geometry); values from VASP
! final energy = -6.5066 eV per atom
! symmetry = P-3m1 (164)
! magnetic moment = 3.06 μB per cell
! crystal system = trigonal
&SYSTEM
  ibrav = 0, nat = 12, ntyp = 4
/
ATOMIC_SPECIES
Sr 87.62 Sr.upf
Ac 227.00 Ac.upf
As 74.92 As.upf
O 16.00 O.upf
ATOMIC_POSITIONS angstrom
Sr 0.000 0.000 3.458
Ac 2.758 1.592 1.028
Ac 0.000 3.184 5.888
As 0.000 0.000 0.000
O 2.758 3.271 5.834
O 1.304 0.753 5.834
O 4.211 0.753 5.834
O 0.000 1.506 1.081
O 1.454 4.024 1.081
O -1.454 4.024 1.081
O 2.758 1.592 3.285
O 0.000 3.184 3.631
CELL_PARAMETERS angstrom
5.515 0.000 0.000
-2.758 4.776 0.000
0.000 0.000 6.916



2.
! HfZr3Pt (GGA-PBE, optimized geometry); values from VASP
! relative energy among the computed polymorphs = 0.000 eV/atom
! symmetry = P-1 (2)
! magnetic moment = 0.00 μB per cell
! crystal system = triclinic
! energy of formation from the pure elements = -0.375 eV/atom
&SYSTEM
  ibrav = 0, nat = 10, ntyp = 3
/
ATOMIC_SPECIES
Hf 178.49 Hf.upf
Zr 91.22 Zr.upf
Pt 195.08 Pt.upf
ATOMIC_POSITIONS angstrom
Hf 3.844 4.353 2.543
Hf 1.668 -0.711 2.078
Zr 4.281 1.235 2.642
Zr -0.024 -1.960 4.565
Zr 1.231 2.408 1.979
Zr 5.536 5.603 0.056
Zr 1.718 0.708 4.583
Zr 3.794 2.934 0.039
Pt 0.000 0.000 0.000
Pt 2.708 0.347 -0.231
CELL_PARAMETERS angstrom
5.416 0.693 -0.461
0.981 7.385 -0.954
-0.884 -4.436 6.037



3.
! Mg3SiBi (GGA-PBE, optimized geometry); values from VASP
! relative energy among the computed polymorphs = 0.672 eV/atom
! symmetry = Pm-3m (221)
! magnetic moment = 0.96 μB per cell
! crystal system = cubic
&SYSTEM
  ibrav = 0, nat = 5, ntyp = 3
/
ATOMIC_SPECIES
Mg 24.30 Mg.upf
Si 28.09 Si.upf
Bi 208.98 Bi.upf
ATOMIC_POSITIONS angstrom
Mg 0.728 -2.314 1.201
Mg 0.959 1.397 2.110
Mg -2.424 -0.143 1.196
Si -0.737 -1.059 4.507
Bi 0.000 0.000 0.000
CELL_PARAMETERS angstrom
-4.848 -0.286 2.391
1.457 -4.627 2.401
1.917 2.794 4.221



4.
! RbSiMoSe2 (GGA-PBE, optimized geometry); values from VASP
! final energy = -4.4148 eV per atom
! symmetry = P4/mmm (123)
! magnetic moment = 3.63 μB per cell
! crystal system = tetragonal
&SYSTEM
  ibrav = 0, nat = 5, ntyp = 4
/
ATOMIC_SPECIES
Mo 95.94 Mo.upf
Si 28.09 Si.upf
Se 78.96 Se.upf
Rb 85.47 Rb.upf
ATOMIC_POSITIONS angstrom
Mo -1.726 -0.887 1.481
Si 0.000 0.000 0.000
Se -1.600 1.967 -0.686
Se -0.944 -1.456 -1.973
Rb -4.270 -0.376 -1.178
CELL_PARAMETERS angstrom
-1.888 -2.912 -3.945
-3.451 -1.775 2.961
-3.201 3.934 -1.373



5.
! Sb2Au (GGA-PBE, optimized geometry); values from VASP
! final energy = -3.8046 eV per atom
! symmetry = C2/m (12)
! magnetic moment = 0.00 μB per cell
! crystal system = monoclinic
&SYSTEM
  ibrav = 0, nat = 6, ntyp = 2
/
ATOMIC_SPECIES
Sb 121.76 Sb.upf
Au 196.97 Au.upf
ATOMIC_POSITIONS angstrom
Sb -4.044 -8.546 -3.463
Sb -3.860 -4.891 -3.376
Sb -0.910 -3.750 -0.740
Sb -6.994 -9.687 -6.099
Au -0.418 -0.919 -0.357
Au -6.794 -5.992 -5.998
CELL_PARAMETERS angstrom
-6.233 -4.000 -2.881
-3.594 -4.063 -5.807
-0.692 -6.525 -0.483



6.
! ZnSb2Rh (GGA-PBE, optimized geometry); values from VASP
! final energy = -4.3411 eV per atom
! symmetry = C2/m (12)
! magnetic moment = 0.00 μB per cell
! crystal system = monoclinic
&SYSTEM
  ibrav = 0, nat = 4, ntyp = 3
/
ATOMIC_SPECIES
Rh 102.91 Rh.upf
Sb 121.76 Sb.upf
Zn 65.41 Zn.upf
ATOMIC_POSITIONS angstrom
Rh 1.309 -2.386 -0.617
Sb 1.276 -4.335 -4.823
Sb 2.503 -4.654 -1.372
Zn 3.927 -7.158 -1.852
CELL_PARAMETERS angstrom
-1.019 -3.109 -2.004
2.180 -1.108 -2.957
4.075 -5.326 2.491